No. 1
The following is a DFT calculation (PBE-GGA) of a relaxed structure of Dy3IrO7.

Cell lengths 6.4687, 6.4687, 7.4007 Å; angles 90.00, 90.00, 108.87 degrees
Closest atoms and distances in Å follow each position.
Element x y z (fractional)
Dy  0.4730  0.4730  0.5000  6 O 2.32-2.41
Dy  0.5270  0.5270  0.0000  6 O 2.32-2.41
Dy  0.5337  0.9997  0.2545  7 O 2.23-2.43
Dy  0.4663  0.0003  0.7545  7 O 2.23-2.43
Dy  0.9997  0.5337  0.7455  7 O 2.23-2.43
Dy  0.0003  0.4663  0.2455  7 O 2.23-2.43
Ir  0.0006  0.0006  0.5000  6 O 1.96-2.01
Ir  0.9994  0.9994  0.0000  6 O 1.96-2.01
O  0.6861  0.9390  0.5327  1 Ir 1.96
O  0.3139  0.0610  0.0327  1 Ir 1.96
O  0.9390  0.6861  0.4673  1 Ir 1.96
O  0.0610  0.3139  0.9673  1 Ir 1.96
O  0.0808  0.3258  0.5248  1 Ir 2.01
O  0.9192  0.6742  0.0248  1 Ir 2.01
O  0.3258  0.0808  0.4752  1 Ir 2.01
O  0.6742  0.9192  0.9752  1 Ir 2.01
O  0.3689  0.6311  0.2500  4 Dy 2.28-2.32
O  0.6311  0.3689  0.7500  4 Dy 2.28-2.32
O  0.6369  0.3631  0.2500  4 Dy 2.23-2.35
O  0.3631  0.6369  0.7500  4 Dy 2.23-2.35
O  0.9267  0.0733  0.2500  2 Ir 2.00
O  0.0733  0.9267  0.7500  2 Ir 2.00

***

No. 2
The following is a DFT calculation (PBE-GGA) of a relaxed structure of DyIrO4.

Cell lengths 4.9032, 5.6678, 5.8795 Å; angles 108.87, 90.00, 90.00 degrees
Closest atoms and distances in Å follow each position.
Element x y z (fractional)
Dy  0.0000  0.5000  0.5000  6 O 2.19-2.36
Dy  0.5000  0.0000  0.5000  6 O 2.19-2.36
Ir  0.5000  0.5000  0.0000  6 O 1.96-2.03
Ir  0.0000  0.0000  0.0000  6 O 1.96-2.03
O  0.2899  0.8251  0.1209  2 Ir 1.99-2.03
O  0.2101  0.3251  0.1209  2 Ir 1.99-2.03
O  0.6492  0.6119  0.3274  1 Ir 1.96, 1 Dy 2.19
O  0.1492  0.8881  0.6726  1 Ir 1.96, 1 Dy 2.19
O  0.8508  0.1119  0.3274  1 Ir 1.96, 1 Dy 2.19
O  0.3508  0.3881  0.6726  1 Ir 1.96, 1 Dy 2.19
O  0.7899  0.6749  0.8791  2 Ir 1.99-2.03
O  0.7101  0.1749  0.8791  2 Ir 1.99-2.03

## Properties
Energy above the lowest structure with this stoichiometry (meV/atom): 78.0

***

No. 3
The following is a DFT calculation (PBE-GGA) of a relaxed structure of DyPaIrO6.

Cell lengths 5.4033, 5.4033, 10.0179 Å; angles 90.00, 90.00, 120.00 degrees
Closest atoms and distances in Å follow each position.
Element x y z (fractional)
Dy  0.0000  0.0000  0.0000  6 O 2.30
Dy  0.0000  0.0000  0.5000  6 O 2.30
Pa  0.3333  0.6667  0.2500  6 O 2.20
Pa  0.6667  0.3333  0.7500  6 O 2.20
Ir  0.6667  0.3333  0.2500  6 O 2.04
Ir  0.3333  0.6667  0.7500  6 O 2.04
O  0.6685  0.6447  0.1346  1 Ir 2.04, 1 Pa 2.20
O  0.9761  0.3315  0.1346  1 Ir 2.04, 1 Pa 2.20
O  0.3315  0.9761  0.6346  1 Ir 2.04, 1 Pa 2.20
O  0.0239  0.6685  0.8654  1 Ir 2.04, 1 Pa 2.20
O  0.3553  0.3315  0.3654  1 Ir 2.04, 1 Pa 2.20
O  0.9761  0.6447  0.3654  1 Ir 2.04, 1 Pa 2.20
O  0.6447  0.9761  0.8654  1 Ir 2.04, 1 Pa 2.20
O  0.6685  0.0239  0.3654  1 Ir 2.04, 1 Pa 2.20
O  0.0239  0.3553  0.6346  1 Ir 2.04, 1 Pa 2.20
O  0.3553  0.0239  0.1346  1 Ir 2.04, 1 Pa 2.20
O  0.6447  0.6685  0.6346  1 Ir 2.04, 1 Pa 2.20
O  0.3315  0.3553  0.8654  1 Ir 2.04, 1 Pa 2.20

***

No. 4
The following is a DFT calculation (PBE-GGA) of a relaxed structure of Dy2PaIrO8.

Cell lengths 5.0381, 5.0384, 6.7820 Å; angles 90.00, 90.00, 91.41 degrees
Closest atoms and distances in Å follow each position.
Element x y z (fractional)
Dy  0.5000  0.5000  0.7572  6 O 2.23-2.29
Dy  0.5000  0.5000  0.2428  6 O 2.23-2.29
Pa  0.0000  0.0000  0.5000  6 O 2.13-2.24
Ir  0.0000  0.0000  0.0000  6 O 1.93-2.06
O  0.1829  0.8166  0.2329  1 Ir 2.06, 1 Pa 2.24, 1 Dy 2.29
O  0.7258  0.7264  0.0000  1 Ir 1.93
O  0.8172  0.1834  0.2329  1 Ir 2.06, 1 Pa 2.24, 1 Dy 2.29
O  0.8171  0.1834  0.7671  1 Ir 2.06, 1 Pa 2.24, 1 Dy 2.29
O  0.2742  0.2736  0.0000  1 Ir 1.93
O  0.1828  0.8166  0.7671  1 Ir 2.06, 1 Pa 2.24, 1 Dy 2.29
O  0.6974  0.6980  0.5000  1 Pa 2.13, 2 Dy 2.23
O  0.3026  0.3020  0.5000  1 Pa 2.13, 2 Dy 2.23

***

No. 5
The following is a DFT calculation (PBE-GGA) of a relaxed structure of DyIrPb2O6.

Cell lengths 5.8617, 5.8738, 8.2792 Å; angles 90.00, 90.31, 90.00 degrees
Closest atoms and distances in Å follow each position.
Element x y z (fractional)
Dy  0.5000  0.0000  0.0000  6 O 2.25-2.26
Dy  0.0000  0.5000  0.5000  6 O 2.25-2.26
Ir  0.5000  0.0000  0.5000  6 O 1.99
Ir  0.0000  0.5000  0.0000  6 O 1.99
Pb  0.0095  0.9713  0.2471  5 O 2.53-2.76
Pb  0.5095  0.5287  0.7471  5 O 2.53-2.76
Pb  0.9905  0.0287  0.7529  5 O 2.53-2.76
Pb  0.4905  0.4713  0.2529  5 O 2.53-2.76
O  0.2658  0.7023  0.0442  1 Ir 1.99
O  0.7658  0.7977  0.5442  1 Ir 1.99
O  0.7342  0.2977  0.9558  1 Ir 1.99
O  0.2342  0.2023  0.4558  1 Ir 1.99
O  0.3045  0.7289  0.4591  1 Ir 1.99
O  0.8045  0.7711  0.9591  1 Ir 1.99
O  0.6955  0.2711  0.5409  1 Ir 1.99
O  0.1955  0.2289  0.0409  1 Ir 1.99
O  0.9214  0.5163  0.2331  1 Ir 1.99
O  0.4214  0.9837  0.7331  1 Ir 1.99
O  0.0786  0.4837  0.7669  1 Ir 1.99
O  0.5786  0.0163  0.2669  1 Ir 1.99

***

No. 6
The following is a DFT calculation (PBE-GGA) of a relaxed structure of Pm2DyIrO8.

Cell lengths 5.1431, 5.1427, 6.9007 Å; angles 89.98, 90.02, 90.66 degrees
Closest atoms and distances in Å follow each position.
Element x y z (fractional)
Pm  0.5001  0.5000  0.7499  6 O 2.24-2.44
Pm  0.4999  0.5000  0.2501  6 O 2.24-2.44
Dy  0.0000  0.0000  0.5000  6 O 2.19-2.39
Ir  0.0000  0.0000  0.0000  6 O 1.89-1.95
O  0.1780  0.8216  0.2105  1 Ir 1.95
O  0.7381  0.7386  0.0000  1 Ir 1.89
O  0.8219  0.1785  0.2102  1 Ir 1.95
O  0.8220  0.1784  0.7895  1 Ir 1.95
O  0.2619  0.2614  0.0000  1 Ir 1.89
O  0.1781  0.8215  0.7898  1 Ir 1.95
O  0.6966  0.6969  0.4999  1 Dy 2.19, 2 Pm 2.24
O  0.3034  0.3031  0.5001  1 Dy 2.19, 2 Pm 2.24

***

No. 7
The following is a DFT calculation (PBE-GGA) of a relaxed structure of PrDy2IrO8.

Cell lengths 5.0885, 5.0825, 6.9157 Å; angles 90.00, 90.00, 89.58 degrees
Closest atoms and distances in Å follow each position.
Element x y z (fractional)
Pr  0.0000  0.0000  0.5000  6 O 2.29-2.45
Dy  0.5000  0.5000  0.7496  6 O 2.17-2.42
Dy  0.5000  0.5000  0.2504  6 O 2.17-2.42
Ir  0.0000  0.0000  0.0000  6 O 1.92-1.94
O  0.1856  0.8123  0.2024  1 Ir 1.94
O  0.7331  0.7352  0.0000  1 Ir 1.92
O  0.8144  0.1877  0.2023  1 Ir 1.94
O  0.8144  0.1877  0.7976  1 Ir 1.94
O  0.2669  0.2648  0.0000  1 Ir 1.92
O  0.1856  0.8123  0.7977  1 Ir 1.94
O  0.6813  0.6843  0.5000  2 Dy 2.17, 1 Pr 2.29
O  0.3187  0.3157  0.5000  2 Dy 2.17, 1 Pr 2.29

***

No. 8
The following is a DFT calculation (PBE-GGA) of a relaxed structure of PrDyIrO6.

Cell lengths 5.5421, 5.5421, 10.0607 Å; angles 90.00, 90.00, 120.00 degrees
Closest atoms and distances in Å follow each position.
Element x y z (fractional)
Pr  0.0000  0.0000  0.0000  6 O 2.43
Pr  0.0000  0.0000  0.5000  6 O 2.43
Dy  0.3333  0.6667  0.2500  6 O 2.26
Dy  0.6667  0.3333  0.7500  6 O 2.26
Ir  0.6667  0.3333  0.2500  6 O 1.96
Ir  0.3333  0.6667  0.7500  6 O 1.96
O  0.6648  0.6239  0.1394  1 Ir 1.96
O  0.9590  0.3352  0.1394  1 Ir 1.96
O  0.3352  0.9590  0.6394  1 Ir 1.96
O  0.0410  0.6648  0.8606  1 Ir 1.96
O  0.3761  0.3352  0.3606  1 Ir 1.96
O  0.9590  0.6239  0.3606  1 Ir 1.96
O  0.6239  0.9590  0.8606  1 Ir 1.96
O  0.6648  0.0410  0.3606  1 Ir 1.96
O  0.0410  0.3761  0.6394  1 Ir 1.96
O  0.3761  0.0410  0.1394  1 Ir 1.96
O  0.6239  0.6648  0.6394  1 Ir 1.96
O  0.3352  0.3761  0.8606  1 Ir 1.96

***

No. 9
The following is a DFT calculation (PBE-GGA) of a relaxed structure of RbDy2IrO8.

Cell lengths 4.8063, 4.5868, 7.7803 Å; angles 82.10, 86.06, 94.54 degrees
Closest atoms and distances in Å follow each position.
Element x y z (fractional)
Rb  0.0000  0.0000  0.5000  8 O 2.85-3.07
Dy  0.4621  0.4286  0.7841  7 O 2.27-2.47
Dy  0.5379  0.5714  0.2159  7 O 2.27-2.47
Ir  0.0000  0.0000  0.0000  6 O 1.90-1.95
O  0.0822  0.7143  0.1959  1 Ir 1.95
O  0.7389  0.7083  0.9355  1 Ir 1.90
O  0.7082  0.1011  0.1613  1 Ir 1.94
O  0.9178  0.2857  0.8041  1 Ir 1.95
O  0.2611  0.2917  0.0645  1 Ir 1.90
O  0.2918  0.8989  0.8387  1 Ir 1.94
O  0.4771  0.6600  0.5041  1 O 1.51
O  0.5229  0.3400  0.4959  1 O 1.51

***

No. 10
The following is a DFT calculation (PBE-GGA) of a relaxed structure of Rb2DyIr3O12.

Cell lengths 7.6235, 7.6235, 7.6235 Å; angles 57.30, 57.30, 57.30 degrees
Closest atoms and distances in Å follow each position.
Element x y z (fractional)
Rb  0.6118  0.6118  0.6118  9 O 3.17-3.48
Rb  0.3882  0.3882  0.3882  9 O 3.17-3.48
Dy  0.0000  0.0000  0.0000  6 O 2.23
Ir  0.5000  0.0000  0.0000  6 O 1.89-1.95
Ir  0.0000  0.5000  0.0000  6 O 1.89-1.95
Ir  0.0000  0.0000  0.5000  6 O 1.89-1.95
O  0.3118  0.3118  0.9153  2 Ir 1.95
O  0.9259  0.9259  0.3547  1 Ir 1.89
O  0.3547  0.9259  0.9259  1 Ir 1.89
O  0.9153  0.3118  0.3118  2 Ir 1.95
O  0.9259  0.3547  0.9259  1 Ir 1.89
O  0.3118  0.9153  0.3118  2 Ir 1.95
O  0.6882  0.6882  0.0847  2 Ir 1.95
O  0.0741  0.0741  0.6453  1 Ir 1.89
O  0.6453  0.0741  0.0741  1 Ir 1.89
O  0.0847  0.6882  0.6882  2 Ir 1.95
O  0.0741  0.6453  0.0741  1 Ir 1.89
O  0.6882  0.0847  0.6882  2 Ir 1.95

***

No. 11
The following is a DFT calculation (PBE-GGA) of a relaxed structure of Rb3Dy3IrO8.

Cell lengths 6.8090, 6.8095, 7.6652 Å; angles 116.38, 89.99, 120.00 degrees
Closest atoms and distances in Å follow each position.
Element x y z (fractional)
Rb  0.0000  0.0000  0.0000  6 O 2.91-2.92
Rb  0.0000  0.5000  0.0000  6 O 2.91-2.92
Rb  0.5000  0.5000  0.0000  6 O 2.91-2.92
Dy  0.5000  0.0000  0.5000  6 O 2.27-2.31
Dy  0.5000  0.5000  0.5000  6 O 2.27-2.31
Dy  0.0000  0.5000  0.5000  6 O 2.27-2.31
Ir  0.0000  0.0000  0.5000  6 O 2.12
O  0.2759  0.5518  0.3277  3 Dy 2.27
O  0.7241  0.4482  0.6723  3 Dy 2.27
O  0.7909  0.5819  0.3351  1 Ir 2.12, 2 Dy 2.31
O  0.2091  0.4181  0.6649  1 Ir 2.12, 2 Dy 2.31
O  0.7910  0.0441  0.3351  1 Ir 2.12, 2 Dy 2.31
O  0.2090  0.9559  0.6649  1 Ir 2.12, 2 Dy 2.31
O  0.2531  0.0441  0.3351  1 Ir 2.12, 2 Dy 2.31
O  0.7469  0.9559  0.6649  1 Ir 2.12, 2 Dy 2.31

***

No. 12
The following is a DFT calculation (PBE-GGA) of a relaxed structure of DySbIrO6.

Cell lengths 5.3023, 5.3023, 9.0810 Å; angles 90.00, 90.00, 120.00 degrees
Closest atoms and distances in Å follow each position.
Element x y z (fractional)
Dy  0.3333  0.6667  0.2500  6 O 2.24
Dy  0.6667  0.3333  0.7500  6 O 2.24
Sb  0.0000  0.0000  0.0000  6 O 2.05
Sb  0.0000  0.0000  0.5000  6 O 2.05
Ir  0.6667  0.3333  0.2500  6 O 2.04
Ir  0.3333  0.6667  0.7500  6 O 2.04
O  0.6883  0.6589  0.1205  1 Ir 2.04, 1 Sb 2.05, 1 Dy 2.24
O  0.9706  0.3117  0.1205  1 Ir 2.04, 1 Sb 2.05, 1 Dy 2.24
O  0.3117  0.9706  0.6205  1 Ir 2.04, 1 Sb 2.05, 1 Dy 2.24
O  0.0294  0.6883  0.8795  1 Ir 2.04, 1 Sb 2.05, 1 Dy 2.24
O  0.3411  0.3117  0.3795  1 Ir 2.04, 1 Sb 2.05, 1 Dy 2.24
O  0.9706  0.6589  0.3795  1 Ir 2.04, 1 Sb 2.05, 1 Dy 2.24
O  0.6589  0.9706  0.8795  1 Ir 2.04, 1 Sb 2.05, 1 Dy 2.24
O  0.6883  0.0294  0.3795  1 Ir 2.04, 1 Sb 2.05, 1 Dy 2.24
O  0.0294  0.3411  0.6205  1 Ir 2.04, 1 Sb 2.05, 1 Dy 2.24
O  0.3411  0.0294  0.1205  1 Ir 2.04, 1 Sb 2.05, 1 Dy 2.24
O  0.6589  0.6883  0.6205  1 Ir 2.04, 1 Sb 2.05, 1 Dy 2.24
O  0.3117  0.3411  0.8795  1 Ir 2.04, 1 Sb 2.05, 1 Dy 2.24

***

Calculated DFT total energy (Ry/atom), listed in the same order as above: -0.5806; -0.5422; -0.6193; -0.6093; -0.4877; -0.5512; -0.5527; -0.5514; -0.4930; -0.4658; -0.4878; -0.5070
Calculated total moment (μB per atom), listed in the same order as above: 0.18; 0.08; 0.11; 0.17; 0.12; 0.13; 0.15; 0.33; 0.12; 0.26; 0.07; 0.09